Entry 1:
Nd3PuCo8 | the Alexandria database | PBE-GGA | optimized geometry; magnetic moment = 4.24 μB per formula unit; E_tot = -7.159 eV/atom; space group = R3m; formation energy = -0.0359 eV per atom
1.0
2.520 1.455 8.629
-2.520 1.455 8.629
0.000 -2.910 8.629
Nd Pu Co
3 1 8
Direct
0.000 0.000 0.000
0.124 0.124 0.124
0.624 0.624 0.624
0.502 0.502 0.502
0.062 0.062 0.557
0.062 0.557 0.062
0.065 0.562 0.562
0.313 0.313 0.313
0.557 0.062 0.062
0.562 0.065 0.562
0.562 0.562 0.065
0.815 0.815 0.815

Entry 2:
La4Ag3Pd | the Alexandria database | PBE-GGA | optimized geometry; magnetic moment = 0.00 μB per formula unit; E_tot = -4.571 eV/atom; ΔE to the lowest computed polymorph = 0 meV/atom; space group = Pmm2; formation energy = -0.3891 eV per atom
1.0
4.002 0.000 0.000
0.000 4.922 0.000
0.000 0.000 11.438
La Ag Pd
4 3 1
Direct
0.000 0.000 0.000
0.000 0.500 0.265
0.500 0.000 0.477
0.500 0.500 0.770
0.000 0.000 0.704
0.000 0.500 0.549
0.500 0.500 0.051
0.500 0.000 0.210

Entry 3:
BaMg12Au6 | the Alexandria database | PBE-GGA | optimized geometry; magnetic moment = 0.00 μB per formula unit; E_tot = -2.614 eV/atom; space group = R-3m; formation energy = -0.4709 eV per atom
1.0
6.244 3.605 3.217
-6.244 3.605 3.217
0.000 -7.210 3.217
Ba Mg Au
1 12 6
Direct
0.000 0.000 0.000
0.123 0.500 0.877
0.123 0.877 0.500
0.170 0.436 0.436
0.436 0.170 0.436
0.436 0.436 0.170
0.500 0.123 0.877
0.500 0.877 0.123
0.564 0.564 0.830
0.564 0.830 0.564
0.830 0.564 0.564
0.877 0.123 0.500
0.877 0.500 0.123
0.251 0.251 0.690
0.251 0.690 0.251
0.310 0.749 0.749
0.690 0.251 0.251
0.749 0.310 0.749
0.749 0.749 0.310

Entry 4:
CaDyTlSn | the Alexandria database | PBE-GGA | optimized geometry; magnetic moment = 0.00 μB per formula unit; E_tot = -3.712 eV/atom; space group = F-43m; formation energy = -0.4686 eV per atom
1.0
7.647 0.000 0.000
0.000 7.647 0.000
0.000 0.000 7.647
Ca Dy Tl Sn
4 4 4 4
Direct
0.000 0.000 0.000
0.000 0.500 0.500
0.500 0.000 0.500
0.500 0.500 0.000
0.000 0.000 0.500
0.000 0.500 0.000
0.500 0.000 0.000
0.500 0.500 0.500
0.250 0.250 0.750
0.250 0.750 0.250
0.750 0.250 0.250
0.750 0.750 0.750
0.250 0.250 0.250
0.250 0.750 0.750
0.750 0.250 0.750
0.750 0.750 0.250

Entry 5:
Ac4TePdI2 | the Alexandria database | PBE-GGA | optimized geometry; magnetic moment = 0.00 μB per formula unit; E_tot = -4.529 eV/atom; raw formation energy = -1045 meV per atom; space group = P2/m
1.0
8.470 0.000 0.000
0.000 4.461 0.000
-2.461 0.000 8.121
Ac Te Pd I
4 1 1 2
Direct
0.206 0.000 0.199
0.240 0.500 0.781
0.760 0.500 0.219
0.794 0.000 0.801
0.500 0.000 0.000
0.000 0.500 0.000
0.000 0.000 0.500
0.500 0.500 0.500

Entry 6:
La3Nd6DyY2 | the Alexandria database | PBE-GGA | optimized geometry; magnetic moment = 0.00 μB per formula unit; E_tot = -5.059 eV/atom; space group = C2/m; formation energy = 0.0172 eV per atom
1.0
3.179 -5.512 0.000
3.179 5.512 0.000
-2.128 0.000 11.950
La Nd Dy Y
3 6 1 2
Direct
0.000 0.000 0.000
0.333 0.667 0.000
0.667 0.333 0.000
0.086 0.418 0.255
0.249 0.249 0.745
0.418 0.086 0.255
0.582 0.914 0.745
0.751 0.751 0.255
0.914 0.582 0.745
0.500 0.500 0.500
0.167 0.833 0.500
0.833 0.167 0.500

Entry 7:
Er3Cd3Pt2 | the Alexandria database | PBE-GGA | optimized geometry; magnetic moment = 0.00 μB per formula unit; E_tot = -4.379 eV/atom; space group = P-62m; formation energy = -0.8147 eV per atom
1.0
7.614 0.000 0.000
-3.807 6.594 0.000
0.000 0.000 3.641
Er Cd Pt
3 3 2
Direct
0.000 0.576 0.000
0.424 0.424 0.000
0.576 0.000 0.000
0.000 0.226 0.500
0.226 0.000 0.500
0.774 0.774 0.500
0.333 0.667 0.500
0.667 0.333 0.500

Entry 8:
KRbMg14 | the Alexandria database | PBE-GGA | optimized geometry; magnetic moment = 0.00 μB per formula unit; E_tot = -1.353 eV/atom; ΔE to the lowest computed polymorph = 0 meV/atom; space group = Amm2; formation energy = 0.1712 eV per atom
1.0
11.088 0.000 0.000
0.000 3.203 6.066
0.000 -3.203 6.066
K Rb Mg
1 1 14
Direct
0.000 0.000 0.000
0.000 0.499 0.499
0.000 0.501 0.998
0.000 0.998 0.501
0.255 0.188 0.188
0.259 0.688 0.688
0.285 0.178 0.680
0.285 0.680 0.178
0.500 0.015 0.515
0.500 0.031 0.031
0.500 0.515 0.015
0.500 0.530 0.530
0.715 0.178 0.680
0.715 0.680 0.178
0.741 0.688 0.688
0.745 0.188 0.188

Entry 9:
Nd4Dy3Tm | the Alexandria database | PBE-GGA | optimized geometry; magnetic moment = 0.00 μB per formula unit; E_tot = -4.641 eV/atom; ΔE to the lowest computed polymorph = 0 meV/atom; space group = Pmn2_1; formation energy = 0.0280 eV per atom
1.0
11.581 0.000 0.000
0.000 7.326 0.000
0.000 0.000 6.310
Nd Dy Tm
8 6 2
Direct
0.000 0.128 0.000
0.000 0.872 0.495
0.248 0.871 0.834
0.252 0.129 0.334
0.500 0.128 0.995
0.500 0.872 0.500
0.748 0.129 0.334
0.752 0.871 0.834
0.000 0.378 0.499
0.250 0.379 0.832
0.250 0.621 0.332
0.500 0.622 0.999
0.750 0.379 0.832
0.750 0.621 0.332
0.000 0.620 0.998
0.500 0.380 0.498

Entry 10:
Ce2HoGa | the Alexandria database | PBE-GGA | optimized geometry; magnetic moment = 0.01 μB per formula unit; E_tot = -5.042 eV/atom; ΔE to the lowest computed polymorph = 112 meV/atom; space group = P4/mmm; formation energy = -0.1742 eV per atom
1.0
3.892 0.000 0.000
0.000 3.892 0.000
0.000 0.000 7.174
Ce Ho Ga
2 1 1
Direct
0.000 0.000 0.195
0.000 0.000 0.805
0.500 0.500 0.500
0.500 0.500 0.000

Entry 11:
Sm4InSn | the Alexandria database | PBE-GGA | optimized geometry; magnetic moment = 0.00 μB per formula unit; E_tot = -4.516 eV/atom; space group = Cmcm; formation energy = -0.2467 eV per atom
1.0
2.816 -11.037 0.000
2.816 11.037 0.000
0.000 0.000 6.540
Sm In Sn
8 2 2
Direct
0.065 0.935 0.750
0.207 0.793 0.504
0.207 0.793 0.996
0.372 0.628 0.750
0.628 0.372 0.250
0.793 0.207 0.004
0.793 0.207 0.496
0.935 0.065 0.250
0.074 0.926 0.250
0.926 0.074 0.750
0.342 0.658 0.250
0.658 0.342 0.750

Entry 12:
Zr3CuH | the Alexandria database | PBE-GGA | optimized geometry; magnetic moment = 0.00 μB per formula unit; E_tot = -6.666 eV/atom; ΔE to the lowest computed polymorph = 71 meV/atom; space group = Pm
1.0
7.404 0.000 0.000
0.000 3.179 0.000
-2.039 0.000 7.300
Zr Cu H
6 2 2
Direct
0.000 0.000 0.000
0.030 0.500 0.368
0.226 0.000 0.722
0.387 0.000 0.360
0.608 0.500 0.740
0.651 0.000 0.121
0.334 0.500 0.035
0.800 0.000 0.536
0.322 0.500 0.552
0.793 0.500 0.005